GGA-PBE CaMgPd3, optimized geometry; energy above the lowest structure with this stoichiometry = 14.533 kcal/mol of atoms; E_form = 437 meV per atom; theoretical density = 5.38 Mg/m³
1.0
4.911 0.000 0.000
0.000 4.911 0.000
0.000 0.000 4.911
Ca Mg Pd
1 1 3
Direct
0.000 0.000 0.000
0.500 0.500 0.500
0.000 0.000 0.500
0.000 0.500 0.000
0.500 0.000 0.000


GGA-PBE CaMg9Pd3, optimized geometry; E_form = -386 meV per atom; theoretical density = 3.57 Mg/m³
1.0
2.833 -7.076 0.000
2.833 7.076 0.000
-2.654 0.000 6.700
Ca Mg Pd
1 9 3
Direct
0.000 0.000 0.000
0.000 0.000 0.500
0.019 0.665 0.674
0.295 0.522 0.783
0.335 0.981 0.326
0.478 0.705 0.217
0.522 0.295 0.783
0.665 0.019 0.674
0.705 0.478 0.217
0.981 0.335 0.326
0.000 0.500 0.000
0.500 0.000 0.000
0.500 0.500 0.500


GGA-PBE CaMg2Pd2, optimized geometry; energy above the lowest structure with this stoichiometry = 0.000 kcal/mol of atoms; E_form = -592 meV per atom; theoretical density = 5.13 Mg/m³
1.0
7.865 0.000 0.000
0.000 7.865 0.000
0.000 0.000 3.158
Ca Mg Pd
2 4 4
Direct
0.000 0.000 0.000
0.500 0.500 0.000
0.136 0.364 0.500
0.364 0.864 0.500
0.636 0.136 0.500
0.864 0.636 0.500
0.158 0.658 0.000
0.342 0.158 0.000
0.658 0.842 0.000
0.842 0.342 0.000


GGA-PBE Ca2Mg3Pd2, optimized geometry; E_form = -538 meV per atom; theoretical density = 3.76 Mg/m³
1.0
10.694 0.000 0.000
0.000 4.282 0.000
-3.094 0.000 7.062
Ca Mg Pd
4 6 4
Direct
0.144 0.000 0.289
0.356 0.500 0.711
0.644 0.500 0.289
0.856 0.000 0.711
0.000 0.500 0.500
0.139 0.500 0.939
0.361 0.000 0.061
0.500 0.000 0.500
0.639 0.000 0.939
0.861 0.500 0.061
0.142 0.000 0.706
0.358 0.500 0.294
0.642 0.500 0.706
0.858 0.000 0.294


GGA-PBE CaMg2Pd, optimized geometry; E_form = -493 meV per atom; theoretical density = 3.49 Mg/m³
1.0
15.893 0.000 0.000
0.000 8.148 0.000
0.000 0.000 5.739
Ca Mg Pd
8 16 8
Direct
0.106 0.250 0.235
0.136 0.750 0.037
0.364 0.250 0.537
0.394 0.750 0.735
0.606 0.250 0.265
0.636 0.750 0.463
0.864 0.250 0.963
0.894 0.750 0.765
0.042 0.058 0.730
0.042 0.442 0.730
0.212 0.556 0.530
0.212 0.944 0.530
0.288 0.056 0.030
0.288 0.444 0.030
0.458 0.558 0.230
0.458 0.942 0.230
0.542 0.058 0.770
0.542 0.442 0.770
0.712 0.556 0.970
0.712 0.944 0.970
0.788 0.056 0.470
0.788 0.444 0.470
0.958 0.558 0.270
0.958 0.942 0.270
0.068 0.750 0.530
0.188 0.250 0.745
0.312 0.750 0.245
0.432 0.250 0.030
0.568 0.750 0.970
0.688 0.250 0.755
0.812 0.750 0.255
0.932 0.250 0.470


GGA-PBE CaMg2Pd2, optimized geometry; energy above the lowest structure with this stoichiometry = 0.966 kcal/mol of atoms; E_form = -550 meV per atom; theoretical density = 4.70 Mg/m³
1.0
-2.188 2.188 11.127
2.188 -2.188 11.127
2.188 2.188 -11.127
Ca Mg Pd
2 4 4
Direct
0.131 0.131 0.000
0.869 0.869 0.000
0.000 0.500 0.500
0.313 0.313 0.000
0.500 0.000 0.500
0.687 0.687 0.000
0.250 0.750 0.500
0.430 0.430 0.000
0.570 0.570 0.000
0.750 0.250 0.500


GGA-PBE CaMg4Pd15, optimized geometry; E_form = -477 meV per atom; theoretical density = 8.98 Mg/m³
1.0
4.004 0.000 0.000
0.000 4.004 0.000
0.000 0.000 19.993
Ca Mg Pd
1 4 15
Direct
0.000 0.000 0.000
0.000 0.000 0.206
0.000 0.000 0.402
0.000 0.000 0.598
0.000 0.000 0.794
0.000 0.500 0.108
0.000 0.500 0.304
0.000 0.500 0.500
0.000 0.500 0.696
0.000 0.500 0.892
0.500 0.000 0.108
0.500 0.000 0.304
0.500 0.000 0.500
0.500 0.000 0.696
0.500 0.000 0.892
0.500 0.500 0.000
0.500 0.500 0.206
0.500 0.500 0.402
0.500 0.500 0.598
0.500 0.500 0.794


GGA-PBE CaMgPd4, optimized geometry; E_form = -479 meV per atom; theoretical density = 7.80 Mg/m³
1.0
9.778 0.000 0.000
0.000 2.999 0.000
-3.047 0.000 7.115
Ca Mg Pd
2 2 8
Direct
0.000 0.000 0.000
0.500 0.500 0.000
0.000 0.000 0.500
0.500 0.500 0.500
0.159 0.500 0.347
0.172 0.500 0.817
0.328 0.000 0.183
0.341 0.000 0.653
0.659 0.000 0.347
0.672 0.000 0.817
0.828 0.500 0.183
0.841 0.500 0.653


GGA-PBE CaMgPd2, optimized geometry; E_form = -648 meV per atom; theoretical density = 6.03 Mg/m³
1.0
6.727 0.000 0.000
0.000 9.534 0.000
0.000 0.000 4.764
Ca Mg Pd
4 4 8
Direct
0.000 0.129 0.250
0.000 0.871 0.750
0.500 0.371 0.750
0.500 0.629 0.250
0.000 0.369 0.750
0.000 0.631 0.250
0.500 0.131 0.250
0.500 0.869 0.750
0.226 0.385 0.250
0.226 0.615 0.750
0.274 0.115 0.750
0.274 0.885 0.250
0.726 0.115 0.750
0.726 0.885 0.250
0.774 0.385 0.250
0.774 0.615 0.750


GGA-PBE CaMgPd4, optimized geometry; E_form = -478 meV per atom; theoretical density = 7.46 Mg/m³
1.0
7.671 0.000 0.000
0.000 4.042 0.000
0.000 0.000 7.040
Ca Mg Pd
2 2 8
Direct
0.250 0.000 0.162
0.750 0.000 0.838
0.250 0.000 0.731
0.750 0.000 0.269
0.000 0.000 0.500
0.045 0.500 0.811
0.250 0.500 0.463
0.455 0.500 0.811
0.500 0.000 0.500
0.545 0.500 0.189
0.750 0.500 0.537
0.955 0.500 0.189


GGA-PBE CaMgPd2, optimized geometry; E_form = -667 meV per atom; theoretical density = 6.06 Mg/m³
1.0
3.330 0.000 0.000
0.000 3.330 0.000
0.000 0.000 6.847
Ca Mg Pd
1 1 2
Direct
0.000 0.000 0.000
0.000 0.000 0.500
0.500 0.500 0.284
0.500 0.500 0.716


GGA-PBE CaMg9Pd2, optimized geometry; E_form = -280 meV per atom; theoretical density = 2.96 Mg/m³
1.0
-5.882 5.882 3.826
5.882 -5.882 3.826
5.882 5.882 -3.826
Ca Mg Pd
2 18 4
Direct
0.375 0.625 0.750
0.625 0.375 0.250
0.125 0.875 0.250
0.138 0.568 0.325
0.138 0.813 0.570
0.187 0.257 0.325
0.187 0.862 0.930
0.257 0.187 0.825
0.257 0.432 0.070
0.432 0.257 0.570
0.432 0.862 0.175
0.568 0.138 0.825
0.568 0.743 0.430
0.743 0.568 0.930
0.743 0.813 0.175
0.813 0.138 0.070
0.813 0.743 0.675
0.862 0.187 0.430
0.862 0.432 0.675
0.875 0.125 0.750
0.000 0.000 0.000
0.000 0.000 0.500
0.000 0.500 0.000
0.500 0.000 0.500


GGA-PBE Ca4MgPd3, optimized geometry; E_form = -600 meV per atom; theoretical density = 4.40 Mg/m³
1.0
-5.706 5.706 2.922
5.706 -5.706 2.922
5.706 5.706 -2.922
Ca Mg Pd
8 2 6
Direct
0.082 0.783 0.865
0.217 0.082 0.300
0.283 0.582 0.865
0.418 0.283 0.700
0.582 0.717 0.300
0.717 0.418 0.135
0.783 0.918 0.700
0.918 0.217 0.135
0.250 0.750 0.500
0.750 0.250 0.500
0.149 0.351 0.500
0.250 0.250 0.000
0.351 0.851 0.201
0.649 0.149 0.799
0.750 0.750 0.000
0.851 0.649 0.500


GGA-PBE Ca3MgPd8, optimized geometry; E_form = -628 meV per atom; theoretical density = 7.32 Mg/m³
1.0
2.718 1.569 8.825
-2.718 1.569 8.825
0.000 -3.139 8.825
Ca Mg Pd
3 1 8
Direct
0.000 0.000 0.000
0.127 0.127 0.127
0.507 0.507 0.507
0.630 0.630 0.630
0.062 0.565 0.565
0.066 0.066 0.567
0.066 0.567 0.066
0.315 0.315 0.315
0.565 0.062 0.565
0.565 0.565 0.062
0.567 0.066 0.066
0.815 0.815 0.815


GGA-PBE Ca3MgPd4, optimized geometry; E_form = -656 meV per atom; theoretical density = 5.77 Mg/m³
1.0
3.417 0.000 0.000
0.000 3.417 0.000
0.000 0.000 14.065
Ca Mg Pd
3 1 4
Direct
0.000 0.000 0.000
0.000 0.000 0.261
0.000 0.000 0.739
0.000 0.000 0.500
0.500 0.500 0.131
0.500 0.500 0.397
0.500 0.500 0.603
0.500 0.500 0.869


GGA-PBE CaMg2Pd2, optimized geometry; energy above the lowest structure with this stoichiometry = 0.143 kcal/mol of atoms; E_form = -586 meV per atom; theoretical density = 4.70 Mg/m³
1.0
4.217 0.000 0.000
0.000 4.217 0.000
0.000 0.000 11.973
Ca Mg Pd
2 4 4
Direct
0.000 0.000 0.000
0.500 0.500 0.500
0.000 0.500 0.250
0.000 0.500 0.750
0.500 0.000 0.250
0.500 0.000 0.750
0.000 0.000 0.389
0.000 0.000 0.611
0.500 0.500 0.111
0.500 0.500 0.889


GGA-PBE CaMg2Pd, optimized geometry; E_form = -367 meV per atom; theoretical density = 3.58 Mg/m³
1.0
3.407 0.000 0.000
0.000 3.407 0.000
0.000 0.000 7.795
Ca Mg Pd
1 2 1
Direct
0.000 0.000 0.000
0.500 0.500 0.315
0.500 0.500 0.685
0.000 0.000 0.500


GGA-PBE Ca2Mg2Pd, optimized geometry; E_form = -200 meV per atom; theoretical density = 2.92 Mg/m³
1.0
7.128 0.000 0.000
0.000 7.128 0.000
0.000 0.000 5.265
Ca Mg Pd
4 4 2
Direct
0.179 0.321 0.000
0.321 0.821 0.000
0.679 0.179 0.000
0.821 0.679 0.000
0.146 0.646 0.500
0.354 0.146 0.500
0.646 0.854 0.500
0.854 0.354 0.500
0.000 0.000 0.500
0.500 0.500 0.500


GGA-PBE CaPrMgPd, optimized geometry; E_form = -342 meV per atom; theoretical density = 4.99 Mg/m³
1.0
7.456 0.000 0.000
0.000 7.456 0.000
0.000 0.000 7.456
Ca Pr Mg Pd
4 4 4 4
Direct
0.000 0.000 0.000
0.000 0.500 0.500
0.500 0.000 0.500
0.500 0.500 0.000
0.000 0.000 0.500
0.000 0.500 0.000
0.500 0.000 0.000
0.500 0.500 0.500
0.250 0.250 0.250
0.250 0.750 0.750
0.750 0.250 0.750
0.750 0.750 0.250
0.250 0.250 0.750
0.250 0.750 0.250
0.750 0.250 0.250
0.750 0.750 0.750


GGA-PBE RbCaMg2Pd, optimized geometry; E_form = -182 meV per atom; theoretical density = 2.90 Mg/m³
1.0
5.377 0.000 0.000
0.000 5.377 0.000
0.000 0.000 5.552
Rb Ca Mg Pd
1 1 2 1
Direct
0.000 0.000 0.000
0.500 0.500 0.000
0.000 0.500 0.500
0.500 0.000 0.500
0.500 0.500 0.500


GGA-PBE CaMgPdRh, optimized geometry; E_form = -503 meV per atom; theoretical density = 6.27 Mg/m³
1.0
6.619 0.000 0.000
0.000 6.619 0.000
0.000 0.000 6.619
Ca Mg Pd Rh
4 4 4 4
Direct
0.000 0.000 0.000
0.000 0.500 0.500
0.500 0.000 0.500
0.500 0.500 0.000
0.000 0.000 0.500
0.000 0.500 0.000
0.500 0.000 0.000
0.500 0.500 0.500
0.250 0.250 0.750
0.250 0.750 0.250
0.750 0.250 0.250
0.750 0.750 0.750
0.250 0.250 0.250
0.250 0.750 0.750
0.750 0.250 0.750
0.750 0.750 0.250


GGA-PBE Ca2MgSb4Pd3, optimized geometry; formation energy (no corrections) = -0.69 eV/atom; theoretical density = 6.41 Mg/m³
1.0
4.432 0.000 0.000
0.000 4.432 0.000
0.000 0.000 12.015
Ca Mg Sb Pd
2 1 4 3
Direct
0.000 0.500 0.250
0.500 0.000 0.750
0.000 0.000 0.500
0.000 0.000 0.000
0.000 0.500 0.645
0.500 0.000 0.355
0.500 0.500 0.000
0.000 0.500 0.864
0.500 0.000 0.136
0.500 0.500 0.500